No. 1
A relaxed In6SnPd12 crystal. Source: Alexandria, functional PBE.

Lattice parameters (Å, degrees): 7.4483 7.4483 7.4483 106.45 106.45 106.45
Closest atoms and distances in Å follow each position.
Fractional positions:
1 Pd 0.1823 0.4757 0.5955  4 In 2.71-2.85, 6 Pd 2.77-2.90
2 Pd 0.7325 0.1552 0.8691  1 Sn 2.66, 5 Pd 2.77-2.92, 5 In 2.85-2.96
3 Pd 0.5955 0.1823 0.4757  4 In 2.71-2.85, 6 Pd 2.77-2.90
4 Pd 0.4045 0.8177 0.5243  4 In 2.71-2.85, 6 Pd 2.77-2.90
5 Pd 0.4757 0.5955 0.1823  4 In 2.71-2.85, 6 Pd 2.77-2.90
6 Pd 0.8177 0.5243 0.4045  4 In 2.71-2.85, 6 Pd 2.77-2.90
7 Pd 0.1552 0.8691 0.7325  1 Sn 2.66, 5 Pd 2.77-2.92, 5 In 2.85-2.96
8 Pd 0.1309 0.2675 0.8448  1 Sn 2.66, 5 Pd 2.77-2.92, 5 In 2.85-2.96
9 Pd 0.2675 0.8448 0.1309  1 Sn 2.66, 5 Pd 2.77-2.92, 5 In 2.85-2.96
10 Pd 0.8691 0.7325 0.1552  1 Sn 2.66, 5 Pd 2.77-2.92, 5 In 2.85-2.96
11 Pd 0.5243 0.4045 0.8177  4 In 2.71-2.85, 6 Pd 2.77-2.90
12 Pd 0.8448 0.1309 0.2675  1 Sn 2.66, 5 Pd 2.77-2.92, 5 In 2.85-2.96
13 In 0.0917 0.4848 0.2152  9 Pd 2.71-2.96
14 In 0.5152 0.7848 0.9083  9 Pd 2.71-2.96
15 In 0.2152 0.0917 0.4848  9 Pd 2.71-2.96
16 In 0.9083 0.5152 0.7848  9 Pd 2.71-2.96
17 In 0.7848 0.9083 0.5152  9 Pd 2.71-2.96
18 In 0.4848 0.2152 0.0917  9 Pd 2.71-2.96
19 Sn 0.0000 0.0000 0.0000  6 Pd 2.66

Computed properties:
- Calculated total energy: -4.757 eV/atom
- Density of states at the Fermi level: 5.9 states/eV per cell
- Formation enthalpy at 0 K: -401 meV per atom
- Magnetization: 0.0 Bohr magnetons per cell

No. 2
A relaxed Rb5LiI6 crystal. Source: Alexandria, functional PBE.

Lattice parameters (Å, degrees): 8.8836 8.9098 8.9699 60.22 80.46 70.51
Closest atoms and distances in Å follow each position.
Fractional positions:
1 I 0.2418 0.6026 0.3146  1 Li 3.48, 5 Rb 3.62-3.79
2 I 0.7582 0.3974 0.6854  1 Li 3.48, 5 Rb 3.62-3.79
3 I 0.2418 0.9171 0.6854  1 Li 3.48, 5 Rb 3.62-3.79
4 I 0.2071 0.2048 0.0000  1 Li 2.99
5 I 0.7582 0.0829 0.3146  1 Li 3.48, 5 Rb 3.62-3.79
6 I 0.7929 0.7952 0.0000  1 Li 2.99
7 Rb 0.5000 0.5000 0.0000  4 I 3.62
8 Rb 0.5000 0.8305 0.3389  6 I 3.63-3.79
9 Rb 0.5000 0.1695 0.6611  6 I 3.63-3.79
10 Rb 0.0000 0.3326 0.3348  6 I 3.65-3.72
11 Rb 0.0000 0.6674 0.6652  6 I 3.65-3.72
12 Li 0.0000 0.0000 0.0000  2 I 2.99

Computed properties:
- Calculated total energy: -2.745 eV/atom
- Density of states at the Fermi level: 0.0 states/eV per cell
- Energy relative to the elements, uncorrected: -16.9 eV/f.u.
- Magnetization: 0.0 Bohr magnetons per cell

No. 3
A relaxed RbMg2In4Ga crystal. Source: Alexandria, functional PBE.

Lattice parameters (Å, degrees): 5.1284 5.1284 11.1177 76.67 76.67 60.00
Closest atoms and distances in Å follow each position.
Fractional positions:
1 In 0.4108 0.4108 0.7675  1 Ga 2.87, 3 Mg 3.12
2 In 0.1265 0.1265 0.6206  4 Mg 3.02-3.17, 3 Ga 3.23, 3 In 3.35
3 In 0.8735 0.8735 0.3794  4 Mg 3.02-3.17, 3 Ga 3.23, 3 In 3.35
4 In 0.5892 0.5892 0.2325  1 Ga 2.87, 3 Mg 3.12
5 Mg 0.2251 0.2251 0.3248  7 In 3.02-3.17
6 Mg 0.7749 0.7749 0.6752  7 In 3.02-3.17
7 Ga 0.5000 0.5000 0.5000  2 In 2.87
8 Rb 0.0000 0.0000 0.0000  8 In 3.87-4.07

Computed properties:
- Calculated total energy: -2.312 eV/atom
- Density of states at the Fermi level: 3.7 states/eV per cell
- Formation enthalpy at 0 K: -45 meV per atom
- Magnetization: 0.0 Bohr magnetons per cell